Entry 1:
LiTlO2 | PBE | relaxed

a = 5.4745 Å, b = 6.5276 Å, c = 5.4833 Å
α = 90.00°, β = 90.00°, γ = 90.00°
Positions (direct):
Li (0.2490, 0.1570, 0.0000)
Li (0.2510, 0.6570, 0.5000)
Li (0.7490, 0.3430, 0.0000)
Li (0.7510, 0.8430, 0.5000)
Tl (0.2503, 0.1081, 0.4999)
Tl (0.2497, 0.6081, 0.9999)
Tl (0.7503, 0.3919, 0.4999)
Tl (0.7497, 0.8919, 0.9999)
O (0.0720, 0.3597, 0.2428)
O (0.0724, 0.8601, 0.2561)
O (0.4276, 0.3601, 0.7561)
O (0.4280, 0.8597, 0.7428)
O (0.5720, 0.1403, 0.2428)
O (0.5724, 0.6399, 0.2561)
O (0.9276, 0.1399, 0.7561)
O (0.9280, 0.6403, 0.7428)

Results
Its magnetic moment is 0.00 μB/atom. The formation energy (no corrections) is -1.076 eV per atom. As for the energy relative to the lowest polymorph listed for this composition: 0.0747 eV/atom.

---

Entry 2:
LiU3Tl4O12 | PBE | relaxed

a = 7.5435 Å, b = 7.5435 Å, c = 7.5435 Å
α = 109.47°, β = 109.47°, γ = 109.47°
Positions (direct):
Li (0.0000, 0.0000, 0.0000)
U (0.0000, 0.5000, 0.5000)
U (0.5000, 0.0000, 0.5000)
U (0.5000, 0.5000, 0.0000)
Tl (0.0000, 0.0000, 0.5000)
Tl (0.0000, 0.5000, 0.0000)
Tl (0.5000, 0.0000, 0.0000)
Tl (0.5000, 0.5000, 0.5000)
O (0.0000, 0.2769, 0.2769)
O (0.0000, 0.7231, 0.7231)
O (0.2500, 0.5000, 0.7500)
O (0.2500, 0.7500, 0.5000)
O (0.2769, 0.0000, 0.2769)
O (0.2769, 0.2769, 0.0000)
O (0.5000, 0.2500, 0.7500)
O (0.5000, 0.7500, 0.2500)
O (0.7231, 0.0000, 0.7231)
O (0.7231, 0.7231, 0.0000)
O (0.7500, 0.2500, 0.5000)
O (0.7500, 0.5000, 0.2500)

Results
Its magnetic moment is 0.00 μB/atom. The formation energy (no corrections) is -2.233 eV per atom.

---

Entry 3:
Li2UTlO6 | PBE | relaxed

a = 5.8797 Å, b = 5.8797 Å, c = 5.8797 Å
α = 55.18°, β = 55.18°, γ = 55.18°
Positions (direct):
Li (0.0000, 0.0000, 0.0000)
Li (0.4868, 0.4868, 0.4868)
U (0.7807, 0.7807, 0.7807)
Tl (0.2760, 0.2760, 0.2760)
O (0.0405, 0.6867, 0.3955)
O (0.1654, 0.5647, 0.8643)
O (0.3955, 0.0405, 0.6867)
O (0.5647, 0.8643, 0.1654)
O (0.6867, 0.3955, 0.0405)
O (0.8643, 0.1654, 0.5647)

Results
Its magnetic moment is 0.00 μB/atom. The formation energy (no corrections) is -1.939 eV per atom.